(1)
Here is a relaxed structure of AgAsP2O from Alexandria. Energies are from GGA-PBE.

Properties
As for the crystal system: tetragonal. The calculation puts the density of states at the Fermi level at 2.7 states/eV/f.u. The calculation puts the energy relative to the lowest polymorph listed for this composition at 0 meV/atom.

Cell lengths 4.8988, 4.8988, 3.5761 Å; angles 90.00, 90.00, 90.00 degrees
Closest atoms and distances in Å follow each position.
Space group P4/mmm (No. 123)
One atom of each set of equivalent atoms:
Ag1 0.0000 0.0000 0.0000 [1 per cell]  8 P 3.03
As1 0.5000 0.5000 0.5000 [1 per cell]  2 O 1.79
P1 0.0000 0.5000 0.5000 [2 per cell]  2 As 2.45
O1 0.5000 0.5000 0.0000 [1 per cell]  2 As 1.79

(2)
Here is a relaxed structure of Os8Cl from Alexandria. Energies are from GGA-PBE.

Properties
The raw total energy is -172.43 eV for the cell shown. As for the crystal system: tetragonal. The calculation puts the density of states at the Fermi level at 6.5 states/eV/f.u.

Cell lengths 8.3036, 8.3036, 3.9243 Å; angles 90.00, 90.00, 90.00 degrees
Closest atoms and distances in Å follow each position.
Space group I4/mmm (No. 139)
One atom of each set of equivalent atoms:
Os1 0.0000 0.3451 0.0000 [8 per cell]  11 Os 2.57-2.82, 1 Cl 2.87
Os2 0.1805 0.1805 0.5000 [8 per cell]  8 Os 2.55-2.82
Cl1 0.0000 0.0000 0.0000 [2 per cell]  12 Os 2.87-2.89

(3)
Here is a relaxed structure of CuC2N from Alexandria. Energies are from GGA-PBE.

Properties
The raw total energy is -100.41 eV for the cell shown. As for the crystal system: tetragonal. The calculation puts the density of states at the Fermi level at 0.5 states/eV/f.u.

Cell lengths 4.2796, 4.2796, 6.8644 Å; angles 90.00, 90.00, 90.00 degrees
Closest atoms and distances in Å follow each position.
Space group I-42d (No. 122)
One atom of each set of equivalent atoms:
Cu1 0.0000 0.0000 0.0000 [4 per cell]  4 C 1.95
C1 0.1754 0.2500 0.6250 [8 per cell]  2 N 1.56
N1 0.0000 0.0000 0.5000 [4 per cell]  4 C 1.56

(4)
Here is a relaxed structure of Y2ErCd from Alexandria. Energies are from GGA-PBE.

Properties
As for the crystal system: tetragonal. The calculation puts the density of states at the Fermi level at 5.3 states/eV/f.u. The calculation puts the energy relative to the lowest polymorph listed for this composition at 0 meV/atom. For the formation enthalpy at 0 K, the calculation gives -152 meV per atom.

Cell lengths 3.5909, 3.5909, 9.0324 Å; angles 90.00, 90.00, 90.00 degrees
Closest atoms and distances in Å follow each position.
Space group P4/mmm (No. 123)
One atom of each set of equivalent atoms:
Y1 0.0000 0.0000 0.2281 [2 per cell]  4 Cd 3.27, 4 Er 3.53, 4 Y 3.59
Er1 0.5000 0.5000 0.5000 [1 per cell]  8 Y 3.53, 4 Er 3.59
Cd1 0.5000 0.5000 0.0000 [1 per cell]  8 Y 3.27, 4 Cd 3.59

(5)
Here is a relaxed structure of SmRhO3 from Alexandria. Energies are from GGA-PBE.

Properties
The raw total energy is -149.97 eV for the cell shown. As for the crystal system: orthorhombic.

Cell lengths 5.8889, 7.7667, 5.3528 Å; angles 90.00, 90.00, 90.00 degrees
Closest atoms and distances in Å follow each position.
Space group Pnma (No. 62)
One atom of each set of equivalent atoms:
Sm1 0.0822 0.2500 0.0290 [4 per cell]  6 O 2.29-2.53
Rh1 0.0000 0.0000 0.5000 [4 per cell]  6 O 2.07-2.11
O1 0.0437 0.7500 0.3767 [4 per cell]  2 Rh 2.07, 1 Sm 2.29
O2 0.1930 0.5580 0.8202 [8 per cell]  2 Rh 2.10-2.11, 1 Sm 2.35

(6)
Here is a relaxed structure of Mg3Zn5Pd from Alexandria. Energies are from GGA-PBE.

Properties
As for the crystal system: tetragonal. The calculation puts the density of states at the Fermi level at 3.8 states/eV/f.u. For the formation enthalpy at 0 K, the calculation gives -5 meV per atom.

Cell lengths 8.2600, 8.2600, 10.1081 Å; angles 90.00, 90.00, 90.00 degrees
Closest atoms and distances in Å follow each position.
Space group I4/mcm (No. 140)
One atom of each set of equivalent atoms:
Mg1 0.0000 0.0000 0.2500 [4 per cell]  2 Zn 2.53
Mg2 0.1179 0.3821 0.0000 [8 per cell]  2 Zn 2.64, 1 Mg 2.76, 2 Pd 2.88
Zn1 0.0000 0.0000 0.0000 [4 per cell]  2 Mg 2.53
Zn2 0.1907 0.3093 0.3610 [16 per cell]  1 Pd 2.49, 1 Zn 2.64, 1 Mg 2.64
Pd1 0.0000 0.5000 0.2500 [4 per cell]  4 Zn 2.49

(7)
Here is a relaxed structure of SrUS2 from Alexandria. Energies are from GGA-PBE.

Properties
As for the crystal system: tetragonal. The calculation puts the density of states at the Fermi level at 6.3 states/eV/f.u. The calculation puts the energy relative to the lowest polymorph listed for this composition at 435 meV/atom.

Cell lengths 8.0724, 8.0724, 14.2639 Å; angles 90.00, 90.00, 90.00 degrees
Closest atoms and distances in Å follow each position.
Space group I-42d (No. 122)
One atom of each set of equivalent atoms:
Sr1 0.1082 0.7500 0.1250 [8 per cell]  4 S 2.94-2.96
U1 0.0924 0.2500 0.6250 [8 per cell]  4 S 2.71
S1 0.1264 0.6691 0.4888 [16 per cell]  2 U 2.71, 2 Sr 2.94-2.96

(8)
Here is a relaxed structure of Cr2PRh from Alexandria. Energies are from GGA-PBE.

Properties
As for the crystal system: tetragonal. The calculation puts the density of states at the Fermi level at 2.8 states/eV/f.u. For the formation enthalpy at 0 K, the calculation gives -159 meV per atom.

Cell lengths 2.9001, 2.9001, 5.9661 Å; angles 90.00, 90.00, 90.00 degrees
Closest atoms and distances in Å follow each position.
Space group P4mm (No. 99)
One atom of each set of equivalent atoms:
Cr1 0.0000 0.0000 0.0000 [1 per cell]  4 Cr 2.55, 4 Rh 2.65, 1 P 2.66
Cr2 0.5000 0.5000 0.2534 [1 per cell]  4 P 2.35, 4 Cr 2.55
P1 0.0000 0.0000 0.4461 [1 per cell]  4 Cr 2.35, 4 Rh 2.61
Rh1 0.5000 0.5000 0.7181 [1 per cell]  4 P 2.61, 5 Cr 2.65-2.77, 4 Rh 2.90